K2SbTe4As after structural relaxation, computed with PBE-GGA.

Properties
Density (g/cm3): 4.72
Raw formation energy (eV per atom): -0.42

Lattice parameters (Å, degrees): 9.2127 9.2127 9.2127 120.99 119.02 90.00
Closest atoms and distances in Å follow each position.
Atoms (fractional coordinates):
K (0.0000, 0.0000, 0.0000)  6 Te 3.41
K (0.5000, 0.0000, 0.0000)  6 Te 3.54
K (0.5000, 0.0000, 0.5000)  6 Te 3.41
K (0.5000, 0.5000, 0.5000)  6 Te 3.54
Sb (0.0000, 0.5000, 0.5000)  6 Te 3.14
Sb (0.5000, 0.5000, 0.0000)  6 Te 3.14
Te (0.1987, 0.7396, 0.4592)  2 As 3.00, 1 Sb 3.14
Te (0.2196, 0.2604, 0.9592)  2 As 3.00, 1 Sb 3.14
Te (0.2286, 0.2503, 0.5218)  1 As 2.98, 2 Sb 3.14
Te (0.2286, 0.7068, 0.9782)  1 As 2.98, 2 Sb 3.14
Te (0.7714, 0.2932, 0.0218)  1 As 2.98, 2 Sb 3.14
Te (0.7714, 0.7497, 0.4782)  1 As 2.98, 2 Sb 3.14
Te (0.7804, 0.7396, 0.0408)  2 As 3.00, 1 Sb 3.14
Te (0.8013, 0.2604, 0.5408)  2 As 3.00, 1 Sb 3.14
As (0.0000, 0.0000, 0.5000)  6 Te 2.98-3.00
As (0.0000, 0.5000, 0.0000)  6 Te 2.98-3.00


KSbTe2As after structural relaxation, computed with PBE-GGA.

Properties
Density (g/cm3): 4.62
Offset from the most stable computed form (meV per atom): 0
Raw formation energy (eV per atom): 0.02
Density of states at the Fermi level (states/eV/cell): 4.24

Lattice parameters (Å, degrees): 5.7653 5.7653 5.3080 90.00 90.00 90.00
Closest atoms and distances in Å follow each position.
Atoms (fractional coordinates):
K (0.0000, 0.0000, 0.0000)  8 Te 3.92, 4 Sb 4.08
Sb (0.5000, 0.5000, 0.0000)  2 As 2.65
Te (0.0000, 0.5000, 0.5000)  2 As 2.88
Te (0.5000, 0.0000, 0.5000)  2 As 2.88
As (0.5000, 0.5000, 0.5000)  2 Sb 2.65, 4 Te 2.88


KSbTe2As after structural relaxation, computed with PBE-GGA.

Properties
Density (g/cm3): 3.57
Offset from the most stable computed form (meV per atom): 1292
Raw formation energy (eV per atom): 1.32
Density of states at the Fermi level (states/eV/cell): 8.41

Lattice parameters (Å, degrees): 6.0158 6.0158 6.3019 90.00 90.00 90.00
Closest atoms and distances in Å follow each position.
Atoms (fractional coordinates):
K (0.0000, 0.0000, 0.0000)  4 Te 3.01, 2 Sb 3.15
Sb (0.0000, 0.0000, 0.5000)  2 K 3.15
Te (0.0000, 0.5000, 0.0000)  2 K 3.01
Te (0.5000, 0.0000, 0.0000)  2 K 3.01
As (0.5000, 0.5000, 0.5000)  4 Sb 4.25, 8 Te 4.36


KSbTe3As after structural relaxation, computed with PBE-GGA.

Properties
Density (g/cm3): 4.56
Raw formation energy (eV per atom): -0.27
Density of states at the Fermi level (states/eV/cell): 1.64

Lattice parameters (Å, degrees): 9.2025 4.5967 10.6502 90.00 92.43 90.00
Closest atoms and distances in Å follow each position.
Atoms (fractional coordinates):
K (0.1457, 0.2500, 0.2815)  3 As 3.63-3.66, 4 Te 3.63-3.82
K (0.8543, 0.7500, 0.7185)  3 As 3.63-3.66, 4 Te 3.63-3.82
Sb (0.3715, 0.7500, 0.8705)  6 Te 2.98-3.17
Sb (0.6285, 0.2500, 0.1295)  6 Te 2.98-3.17
Te (0.1399, 0.2500, 0.8744)  1 As 2.69
Te (0.2895, 0.7500, 0.5786)  2 As 2.73
Te (0.4038, 0.7500, 0.1502)  3 Sb 2.98-3.11
Te (0.5962, 0.2500, 0.8498)  3 Sb 2.98-3.11
Te (0.7105, 0.2500, 0.4214)  2 As 2.73
Te (0.8601, 0.7500, 0.1256)  1 As 2.69
As (0.1387, 0.2500, 0.6217)  3 Te 2.69-2.73
As (0.8613, 0.7500, 0.3783)  3 Te 2.69-2.73


KSc2As after structural relaxation, computed with PBE-GGA.

Properties
Density (g/cm3): 2.11
Density of states at the Fermi level (states/eV/cell): 9.49

Lattice parameters (Å, degrees): 9.6978 9.6978 9.6978 143.49 143.49 52.59
Closest atoms and distances in Å follow each position.
Atoms (fractional coordinates):
K (0.3750, 0.6250, 0.7500)  8 Sc 4.03, 4 As 4.30
K (0.6250, 0.3750, 0.2500)  8 Sc 4.03, 4 As 4.30
Sc (0.0000, 0.0000, 0.0000)  2 As 2.65
Sc (0.0000, 0.0000, 0.5000)  2 As 2.65
Sc (0.0000, 0.5000, 0.0000)  2 As 2.65
Sc (0.5000, 0.0000, 0.5000)  2 As 2.65
As (0.1250, 0.8750, 0.2500)  4 Sc 2.65
As (0.8750, 0.1250, 0.7500)  4 Sc 2.65


KScAs2 after structural relaxation, computed with PBE-GGA.

Properties
Density (g/cm3): 4.15
Offset from the most stable computed form (meV per atom): 87
Density of states at the Fermi level (states/eV/cell): 2.39

Lattice parameters (Å, degrees): 3.3176 3.3176 8.5969 90.00 90.00 98.52
Closest atoms and distances in Å follow each position.
Atoms (fractional coordinates):
K (0.0000, 0.0000, 0.0000)  4 K 3.32, 8 As 3.33-3.56
Sc (0.0000, 0.0000, 0.5000)  8 As 2.80-3.07
As (0.5000, 0.5000, 0.2940)  4 Sc 2.80-3.07
As (0.5000, 0.5000, 0.7060)  4 Sc 2.80-3.07


KScAs2 after structural relaxation, computed with PBE-GGA.

Properties
Density (g/cm3): 4.25
Offset from the most stable computed form (meV per atom): 509
Density of states at the Fermi level (states/eV/cell): 1.89

Lattice parameters (Å, degrees): 5.9579 5.9579 5.9579 138.64 138.64 59.93
Closest atoms and distances in Å follow each position.
Atoms (fractional coordinates):
K (0.0000, 0.0000, 0.0000)  8 As 2.98-3.33, 4 Sc 3.33
Sc (0.2500, 0.7500, 0.5000)  8 As 2.98-3.33, 4 K 3.33
As (0.5000, 0.5000, 0.0000)  4 K 2.98, 4 As 3.33, 4 Sc 3.33
As (0.7500, 0.2500, 0.5000)  4 Sc 2.98, 4 As 3.33, 4 K 3.33


KScAs2 after structural relaxation, computed with PBE-GGA.

Properties
Density (g/cm3): 3.76
Offset from the most stable computed form (meV per atom): 97
Density of states at the Fermi level (states/eV/cell): 0.88

Lattice parameters (Å, degrees): 8.8877 8.8877 3.9948 102.93 102.93 19.64
Closest atoms and distances in Å follow each position.
Atoms (fractional coordinates):
K (0.0000, 0.0000, 0.0000)  2 K 3.03, 6 As 3.34-3.38
Sc (0.2625, 0.2625, 0.7642)  6 As 2.73-2.83, 2 Sc 3.03
As (0.6293, 0.6293, 0.6282)  2 Sc 2.73, 2 As 3.03
As (0.8399, 0.8399, 0.3412)  4 Sc 2.83, 2 As 3.03


KSc3As after structural relaxation, computed with PBE-GGA.

Properties
Density (g/cm3): 3.56
Offset from the most stable computed form (meV per atom): 1354
Density of states at the Fermi level (states/eV/cell): 3.37

Lattice parameters (Å, degrees): 4.8763 4.8763 4.8763 90.00 90.00 90.00
Closest atoms and distances in Å follow each position.
Atoms (fractional coordinates):
K (0.0000, 0.0000, 0.0000)  6 Sc 2.44
Sc (0.0000, 0.0000, 0.5000)  2 K 2.44
Sc (0.0000, 0.5000, 0.0000)  2 K 2.44
Sc (0.5000, 0.0000, 0.0000)  2 K 2.44
As (0.5000, 0.5000, 0.5000)  12 Sc 3.45


KScAs2 after structural relaxation, computed with PBE-GGA.

Properties
Density (g/cm3): 3.85
Offset from the most stable computed form (meV per atom): 167
Density of states at the Fermi level (states/eV/cell): 3.29

Lattice parameters (Å, degrees): 8.9624 8.9624 8.9624 23.55 23.55 23.55
Closest atoms and distances in Å follow each position.
Atoms (fractional coordinates):
K (0.0000, 0.0000, 0.0000)  6 As 3.31, 6 K 3.66
Sc (0.5000, 0.5000, 0.5000)  6 As 2.78
As (0.2360, 0.2360, 0.2360)  3 Sc 2.78
As (0.7640, 0.7640, 0.7640)  3 Sc 2.78


K2ScAs after structural relaxation, computed with PBE-GGA.

Properties
Density (g/cm3): 2.89
Density of states at the Fermi level (states/eV/cell): 3.12

Lattice parameters (Å, degrees): 4.3997 4.3997 5.8729 90.00 90.00 90.00
Closest atoms and distances in Å follow each position.
Atoms (fractional coordinates):
K (0.0000, 0.5000, 0.0000)  4 K 3.11
K (0.5000, 0.0000, 0.0000)  4 K 3.11
Sc (0.0000, 0.0000, 0.5000)  4 As 3.11
As (0.5000, 0.5000, 0.5000)  4 Sc 3.11


KSc2As after structural relaxation, computed with PBE-GGA.

Properties
Density (g/cm3): 2.67
Density of states at the Fermi level (states/eV/cell): 5.23

Lattice parameters (Å, degrees): 3.8174 3.8174 10.2681 100.51 100.51 59.97
Closest atoms and distances in Å follow each position.
Atoms (fractional coordinates):
K (0.0000, 0.0000, 0.0000)  6 K 3.82, 6 Sc 4.16-4.17
Sc (0.2149, 0.2149, 0.6476)  3 As 2.65-2.66
Sc (0.7851, 0.7851, 0.3524)  3 As 2.65-2.66
As (0.5000, 0.5000, 0.5000)  6 Sc 2.65-2.66


| no. | raw total energy (eV/atom) |
| --- | --- |
| 1 | -3.366 |
| 2 | -3.206 |
| 3 | -1.914 |
| 4 | -3.489 |
| 5 | -4.479 |
| 6 | -4.806 |
| 7 | -4.384 |
| 8 | -4.796 |
| 9 | -3.588 |
| 10 | -4.727 |
| 11 | -3.281 |
| 12 | -4.977 |